BaMg3Hg at its PBEsol-relaxed geometry, computed with meta-GGA SCAN.

Properties
The crystal system is cubic. As for the energy: -24.731 eV per atom. The value obtained for the formation energy from the elements is -0.204 eV/atom. Its magnetization is 0.000 μB per formula unit.

a b c (Å): 5.323 5.323 5.323
angles (deg): 90.00 90.00 90.00
Fractional positions:
Mg 0.000 0.500 0.000
Mg 0.000 0.000 0.500
Mg 0.500 0.000 0.000
Hg 0.000 0.000 0.000
Ba 0.500 0.500 0.500

TlReNO2 at its PBEsol-relaxed geometry, computed with meta-GGA SCAN.

Properties
For the uncorrected formation energy, the calculation gives -63.9 kJ per mole of atoms. The crystal system is tetragonal. As for the energy: -33.705 eV per atom. Its magnetization is 0.000 μB per formula unit.

a b c (Å): 3.951 3.940 3.940
angles (deg): 90.00 90.00 90.00
Fractional positions:
Re 0.000 0.000 0.000
Tl 0.500 0.500 0.500
O 0.000 0.000 0.500
O 0.000 0.500 0.000
N 0.500 0.000 0.000

Li2AlTl at its PBEsol-relaxed geometry, computed with meta-GGA SCAN.

Properties
The crystal system is tetragonal. As for the energy: -21.419 eV per atom. The value obtained for the formation energy from the elements is -0.196 eV/atom. Its magnetization is 0.000 μB per formula unit.

a b c (Å): 4.250 4.116 4.116
angles (deg): 90.00 90.00 90.00
Fractional positions:
Tl 0.500 0.500 0.500
Al 0.500 0.000 0.000
Li 0.000 0.000 0.500
Li 0.000 0.500 0.000

YIn3C at its PBEsol-relaxed geometry, computed with meta-GGA SCAN.

Properties
The crystal system is cubic. As for the energy: -27.021 eV per atom. The value obtained for the formation energy from the elements is 0.600 eV/atom. Its magnetization is 0.000 μB per formula unit.

a b c (Å): 4.762 4.762 4.762
angles (deg): 90.00 90.00 90.00
Fractional positions:
Y 0.500 0.500 0.500
C 0.000 0.000 0.000
In 0.000 0.500 0.000
In 0.000 0.000 0.500
In 0.500 0.000 0.000

CoRh2Cl at its PBEsol-relaxed geometry, computed with meta-GGA SCAN.

Properties
For the uncorrected formation energy, the calculation gives 50.6 kJ per mole of atoms. The crystal system is orthorhombic. As for the energy: -22.682 eV per atom. Its magnetization is 3.136 μB per formula unit.

a b c (Å): 2.742 4.625 5.036
angles (deg): 117.34 105.81 90.00
Fractional positions:
Co 0.000 0.500 0.000
Rh 0.754 0.754 0.508
Rh 0.246 0.246 0.492
Cl 0.500 0.000 0.000

Tl2ReOs at its PBEsol-relaxed geometry, computed with meta-GGA SCAN.

Properties
The crystal system is orthorhombic. As for the energy: -70.437 eV per atom. The value obtained for the formation energy from the elements is 1.487 eV/atom. Its magnetization is 1.975 μB per formula unit.

a b c (Å): 2.951 5.019 5.019
angles (deg): 107.47 90.00 90.00
Fractional positions:
Os 0.500 0.000 0.000
Re 0.500 0.500 0.500
Tl 0.000 0.500 0.000
Tl 0.000 0.000 0.500